(1)
This record from Alexandria via LeMat-Bulk describes a geometry-optimized B2Pb6WO12 structure. The functional is PBEsol.

a b c (Å): 9.7222 9.7222 11.8696
angles (deg): 90.00 90.00 37.51
Sites, in units of the cell vectors:
B 0.2461 0.2461 0.0000
B 0.2461 0.2461 0.5000
B 0.7539 0.7539 0.0000
B 0.7539 0.7539 0.5000
Pb 0.0025 0.4153 0.7500
Pb 0.1571 0.6331 0.5934
Pb 0.1571 0.6331 0.9066
Pb 0.3669 0.8429 0.5934
Pb 0.3669 0.8429 0.9066
Pb 0.4153 0.0025 0.2500
Pb 0.5847 0.9975 0.7500
Pb 0.6331 0.1571 0.0934
Pb 0.6331 0.1571 0.4066
Pb 0.8429 0.3669 0.0934
Pb 0.8429 0.3669 0.4066
Pb 0.9975 0.5847 0.2500
W 0.2245 0.7755 0.2500
W 0.7755 0.2245 0.7500
O 0.0214 0.2749 0.2500
O 0.0601 0.9399 0.1264
O 0.0601 0.9399 0.3736
O 0.1701 0.1701 0.0000
O 0.1701 0.1701 0.5000
O 0.2281 0.3381 0.5970
O 0.2281 0.3381 0.9030
O 0.2749 0.0214 0.7500
O 0.3199 0.5237 0.2500
O 0.3381 0.2281 0.0970
O 0.3381 0.2281 0.4030
O 0.4763 0.6801 0.2500
O 0.5237 0.3199 0.7500
O 0.6619 0.7719 0.5970
O 0.6619 0.7719 0.9030
O 0.6801 0.4763 0.7500
O 0.7251 0.9786 0.2500
O 0.7719 0.6619 0.0970
O 0.7719 0.6619 0.4030
O 0.8299 0.8299 0.0000
O 0.8299 0.8299 0.5000
O 0.9399 0.0601 0.6264
O 0.9399 0.0601 0.8736
O 0.9786 0.7251 0.7500

Results
**Volume**: 683.1 Å³/cell
**Space group**: Cmcm
**Raw formation energy**: -1.6664 eV/atom

(2)
This record from Alexandria via LeMat-Bulk describes a geometry-optimized Zn2B2PbO6 structure. The functional is PBEsol.

a b c (Å): 4.9816 11.1591 10.6346
angles (deg): 90.00 90.00 90.00
Sites, in units of the cell vectors:
Zn 0.1835 0.0006 0.1510
Zn 0.1835 0.4994 0.6510
Zn 0.3165 0.0006 0.6510
Zn 0.3165 0.4994 0.1510
Zn 0.6835 0.5006 0.8490
Zn 0.6835 0.9994 0.3490
Zn 0.8165 0.5006 0.3490
Zn 0.8165 0.9994 0.8490
B 0.1965 0.1027 0.4164
B 0.1965 0.3973 0.9164
B 0.3035 0.1027 0.9164
B 0.3035 0.3973 0.4164
B 0.6965 0.6027 0.5836
B 0.6965 0.8973 0.0836
B 0.8035 0.6027 0.0836
B 0.8035 0.8973 0.5836
Pb 0.2500 0.7500 0.4365
Pb 0.2500 0.7500 0.9365
Pb 0.7500 0.2500 0.0635
Pb 0.7500 0.2500 0.5635
O 0.0774 0.6253 0.0876
O 0.0774 0.8747 0.5876
O 0.1546 0.1246 0.0232
O 0.1546 0.3754 0.5232
O 0.1786 0.0540 0.8122
O 0.1786 0.4460 0.3122
O 0.3214 0.0540 0.3122
O 0.3214 0.4460 0.8122
O 0.3454 0.1246 0.5232
O 0.3454 0.3754 0.0232
O 0.4226 0.6253 0.5876
O 0.4226 0.8747 0.0876
O 0.5774 0.1253 0.9124
O 0.5774 0.3747 0.4124
O 0.6546 0.6246 0.9768
O 0.6546 0.8754 0.4768
O 0.6786 0.5540 0.1878
O 0.6786 0.9460 0.6878
O 0.8214 0.5540 0.6878
O 0.8214 0.9460 0.1878
O 0.8454 0.6246 0.4768
O 0.8454 0.8754 0.9768
O 0.9226 0.1253 0.4124
O 0.9226 0.3747 0.9124

Results
**Volume**: 591.2 Å³/cell
**Space group**: Pccn
**Raw formation energy**: -1.8561 eV/atom

(3)
This record from Alexandria via LeMat-Bulk describes a geometry-optimized TcBPd2O structure. The functional is PBEsol.

a b c (Å): 3.9824 3.9824 4.2125
angles (deg): 90.00 90.00 90.00
Sites, in units of the cell vectors:
Tc 0.0000 0.0000 0.0000
B 0.0000 0.0000 0.5000
Pd 0.0000 0.5000 0.5000
Pd 0.5000 0.0000 0.5000
O 0.5000 0.5000 0.0000

Results
**Volume**: 66.8 Å³/cell
**Space group**: P4/mmm
**Raw formation energy**: 0.7134 eV/atom

(4)
This record from Alexandria via LeMat-Bulk describes a geometry-optimized PrBO3 structure. The functional is PBEsol.

a b c (Å): 5.7243 5.0471 8.1347
angles (deg): 90.00 90.00 90.00
Sites, in units of the cell vectors:
Pr 0.2428 0.2500 0.0846
Pr 0.2572 0.7500 0.5846
Pr 0.7428 0.2500 0.4154
Pr 0.7572 0.7500 0.9154
B 0.0844 0.2500 0.7387
B 0.4156 0.7500 0.2387
B 0.5844 0.2500 0.7613
B 0.9156 0.7500 0.2613
O 0.0890 0.0144 0.8244
O 0.0890 0.4856 0.8244
O 0.1005 0.2500 0.5702
O 0.3995 0.7500 0.0702
O 0.4110 0.5144 0.3244
O 0.4110 0.9856 0.3244
O 0.5890 0.0144 0.6756
O 0.5890 0.4856 0.6756
O 0.6005 0.2500 0.9298
O 0.8995 0.7500 0.4298
O 0.9110 0.5144 0.1756
O 0.9110 0.9856 0.1756

Results
**Volume**: 235.0 Å³/cell
**Space group**: Pnma
**Raw formation energy**: -3.0565 eV/atom

(5)
This record from Alexandria via LeMat-Bulk describes a geometry-optimized PrB3O6 structure. The functional is PBEsol.

a b c (Å): 6.3577 6.3577 6.3646
angles (deg): 117.13 117.13 79.27
Sites, in units of the cell vectors:
Pr 0.1971 0.8029 0.7500
Pr 0.8029 0.1971 0.2500
B 0.2080 0.3419 0.9159
B 0.2202 0.7798 0.2500
B 0.3419 0.2080 0.4159
B 0.6581 0.7920 0.5841
B 0.7798 0.2202 0.7500
B 0.7920 0.6581 0.0841
O 0.0054 0.7837 0.2889
O 0.2088 0.5863 0.0071
O 0.2119 0.3884 0.5006
O 0.2163 0.9946 0.2111
O 0.3884 0.2119 0.0006
O 0.4137 0.7912 0.4929
O 0.5863 0.2088 0.5071
O 0.6116 0.7881 0.9994
O 0.7837 0.0054 0.7889
O 0.7881 0.6116 0.4994
O 0.7912 0.4137 0.9929
O 0.9946 0.2163 0.7111

Results
**Volume**: 203.7 Å³/cell
**Space group**: C2/c
**Raw formation energy**: -2.7735 eV/atom

(6)
This record from Alexandria via LeMat-Bulk describes a geometry-optimized PrSc3B4O12 structure. The functional is PBEsol.

a b c (Å): 6.2520 6.2520 11.9899
angles (deg): 99.11 99.11 104.16
Sites, in units of the cell vectors:
Pr 0.0361 0.9639 0.7500
Pr 0.9639 0.0361 0.2500
Sc 0.2021 0.7023 0.4747
Sc 0.2977 0.7979 0.0253
Sc 0.4259 0.5741 0.2500
Sc 0.5741 0.4259 0.7500
Sc 0.7023 0.2021 0.9747
Sc 0.7979 0.2977 0.5253
B 0.1019 0.4937 0.7738
B 0.2206 0.2695 0.9996
B 0.2695 0.2206 0.4996
B 0.4937 0.1019 0.2738
B 0.5063 0.8981 0.7262
B 0.7305 0.7794 0.5004
B 0.7794 0.7305 0.0004
B 0.8981 0.5063 0.2262
O 0.0070 0.1859 0.9306
O 0.1113 0.5654 0.2951
O 0.1312 0.3626 0.4950
O 0.1684 0.6956 0.8520
O 0.1859 0.0070 0.4306
O 0.2383 0.3529 0.7594
O 0.2922 0.4834 0.0683
O 0.3044 0.8316 0.6480
O 0.3529 0.2383 0.2594
O 0.3626 0.1312 0.9950
O 0.4346 0.8887 0.2049
O 0.4834 0.2922 0.5683
O 0.5166 0.7078 0.4317
O 0.5654 0.1113 0.7951
O 0.6374 0.8688 0.0050
O 0.6471 0.7617 0.7406
O 0.6956 0.1684 0.3520
O 0.7078 0.5166 0.9317
O 0.7617 0.6471 0.2406
O 0.8141 0.9930 0.5694
O 0.8316 0.3044 0.1480
O 0.8688 0.6374 0.5050
O 0.8887 0.4346 0.7049
O 0.9930 0.8141 0.0694

Results
**Volume**: 439.1 Å³/cell
**Space group**: C2/c
**Raw formation energy**: -3.0553 eV/atom